First-principles (GGA-PBE) data for a relaxed ZnB4Pt crystal, as listed in the Open Quantum Materials Database.

The volume comes out at 9.47 Å³ per atom. Its uncorrected energy is -5.28 eV per atom. The energy above the most stable polymorph in this dataset comes out at 3.7 kJ/mol of atoms. The value obtained for the total magnetic moment is 0.00 Bohr magnetons per cell.

It has space group P6/mmm (No. 191), with a = 3.0412 Å, b = 3.0412 Å, c = 7.0918 Å, α = 90.00°, β = 90.00° and γ = 120.00°. Symmetry generates all atoms from Zn at (0.0000, 0.0000, 0.0000), B at (0.3333, 0.6667, 0.2427) and Pt at (0.0000, 0.0000, 0.5000).